(1)
A geometry-optimized TlPt2Se structure, computed with PBE-GGA.

Cell lengths 4.518, 4.550, 3.600 Å; angles 90.00, 90.00, 90.00 degrees
Positions (direct):
Pt: 0.000 0.000 0.000
Pt: 0.500 0.500 0.000
Se: 0.500 0.000 0.500
Tl: 0.000 0.500 0.500

Computed properties:
**Formation energy (no corrections)**: 20.4 kJ per mole of atoms

***

(2)
A geometry-optimized TlPt2Se structure, computed with PBE-GGA.

Cell lengths 4.951, 4.951, 8.501 Å; angles 73.07, 73.07, 90.00 degrees
Positions (direct):
Tl: 0.000 0.000 0.000
Tl: 0.750 0.250 0.500
Se: 0.500 0.500 0.000
Se: 0.250 0.750 0.500
Pt: 0.522 0.125 0.250
Pt: 0.228 0.625 0.250
Pt: 0.375 0.478 0.750
Pt: 0.875 0.772 0.750

Computed properties:
**Formation energy (no corrections)**: -2.7 kJ per mole of atoms

***

(3)
A geometry-optimized Tl2PtSe structure, computed with PBE-GGA.

Cell lengths 5.076, 5.076, 5.076 Å; angles 119.79, 119.79, 90.36 degrees
Positions (direct):
Pt: 0.500 0.500 0.000
Se: 0.750 0.250 0.500
Tl: 0.000 0.000 0.000
Tl: 0.250 0.750 0.500

Computed properties:
**Offset from the most stable computed form**: 0.319 eV per atom
**Formation energy (no corrections)**: 15.9 kJ per mole of atoms

***

(4)
A geometry-optimized TlPtSe2 structure, computed with PBE-GGA.

Cell lengths 3.507, 3.507, 8.783 Å; angles 90.00, 90.00, 90.00 degrees
Positions (direct):
Pt: 0.500 0.500 0.952
Se: 0.000 0.000 0.871
Se: 0.500 0.500 0.235
Tl: 0.000 0.000 0.442

Computed properties:
**Offset from the most stable computed form**: 0.274 eV per atom
**Formation energy (no corrections)**: -3.1 kJ per mole of atoms

***

(5)
A geometry-optimized TlPtSe2 structure, computed with PBE-GGA.

Cell lengths 5.020, 7.296, 7.564 Å; angles 90.00, 109.38, 90.00 degrees
Positions (direct):
Tl: 0.669 0.750 0.339
Tl: 0.331 0.250 0.661
Pt: 0.003 0.250 0.006
Pt: 0.997 0.750 0.994
Se: 0.114 0.504 0.229
Se: 0.886 0.496 0.771
Se: 0.114 0.996 0.229
Se: 0.886 0.004 0.771

Computed properties:
**Offset from the most stable computed form**: 0.043 eV per atom
**Formation energy (no corrections)**: -25.4 kJ per mole of atoms

***

(6)
A geometry-optimized TlPtSe2 structure, computed with PBE-GGA.

Cell lengths 3.448, 5.225, 4.655 Å; angles 90.00, 90.00, 90.00 degrees
Positions (direct):
Pt: 0.000 0.500 0.500
Se: 0.000 0.000 0.000
Se: 0.500 0.500 0.000
Tl: 0.500 0.000 0.500

Computed properties:
**Offset from the most stable computed form**: 0.668 eV per atom
**Formation energy (no corrections)**: 34.9 kJ per mole of atoms

***

(7)
A geometry-optimized Tl2PtSe2 structure, computed with PBE-GGA.

Cell lengths 6.786, 6.786, 5.594 Å; angles 90.00, 90.00, 90.00 degrees
Positions (direct):
Tl: 0.173 0.673 0.500
Tl: 0.673 0.827 0.500
Tl: 0.827 0.327 0.500
Tl: 0.327 0.173 0.500
Se: 0.341 0.841 0.000
Se: 0.841 0.659 0.000
Se: 0.659 0.159 0.000
Se: 0.159 0.341 0.000
Pt: 0.000 0.000 0.000
Pt: 0.500 0.500 0.000

Computed properties:
**Formation energy (no corrections)**: -14.6 kJ per mole of atoms

***

(8)
A geometry-optimized TlPtSe2 structure, computed with PBE-GGA.

Cell lengths 7.840, 7.840, 7.840 Å; angles 28.49, 28.49, 28.49 degrees
Positions (direct):
Pt: 0.750 0.750 0.750
Se: 0.026 0.026 0.026
Se: 0.474 0.474 0.474
Tl: 0.250 0.250 0.250

Computed properties:
**Offset from the most stable computed form**: 0.004 eV per atom
**Formation energy (no corrections)**: -29.2 kJ per mole of atoms

***

(9)
A geometry-optimized TlPtSe2 structure, computed with PBE-GGA.

Cell lengths 8.159, 8.159, 8.159 Å; angles 30.29, 30.29, 30.29 degrees
Positions (direct):
Tl: 0.500 0.500 0.500
Se: 0.901 0.901 0.901
Se: 0.099 0.099 0.099
Pt: 0.000 0.000 0.000

Computed properties:
**Offset from the most stable computed form**: 0.525 eV per atom
**Formation energy (no corrections)**: 21.2 kJ per mole of atoms

***

(10)
A geometry-optimized TlPtSe2 structure, computed with PBE-GGA.

Cell lengths 4.920, 4.920, 4.920 Å; angles 60.00, 60.00, 60.00 degrees
Positions (direct):
Tl: 0.500 0.500 0.500
Se: 0.250 0.250 0.250
Se: 0.750 0.750 0.750
Pt: 0.000 0.000 0.000

Computed properties:
**Offset from the most stable computed form**: 0.747 eV per atom
**Formation energy (no corrections)**: 42.5 kJ per mole of atoms

***

(11)
A geometry-optimized TlPt2Se structure, computed with PBE-GGA.

Cell lengths 3.602, 3.602, 6.044 Å; angles 90.00, 90.00, 90.00 degrees
Positions (direct):
Pt: 0.000 0.000 0.009
Pt: 0.500 0.500 0.291
Se: 0.000 0.000 0.409
Tl: 0.500 0.500 0.791

Computed properties:
**Formation energy (no corrections)**: -1.8 kJ per mole of atoms

***

(12)
A geometry-optimized TlPtSe2 structure, computed with PBE-GGA.

Cell lengths 5.910, 5.910, 6.161 Å; angles 58.97, 58.97, 36.36 degrees
Positions (direct):
Pt: 0.250 0.250 0.250
Se: 0.922 0.922 0.080
Se: 0.578 0.578 0.420
Tl: 0.750 0.750 0.750

Computed properties:
**Offset from the most stable computed form**: 0.070 eV per atom
**Formation energy (no corrections)**: -22.8 kJ per mole of atoms

***

(13)
A geometry-optimized TlPtSe2 structure, computed with PBE-GGA.

Cell lengths 4.868, 4.868, 4.868 Å; angles 108.36, 108.36, 111.72 degrees
Positions (direct):
Pt: 0.750 0.250 0.500
Se: 0.000 0.000 0.000
Se: 0.500 0.500 0.000
Tl: 0.250 0.750 0.500

Computed properties:
**Offset from the most stable computed form**: 0.689 eV per atom
**Formation energy (no corrections)**: 36.9 kJ per mole of atoms

***

(14)
A geometry-optimized TlPt2Se structure, computed with PBE-GGA.

Cell lengths 3.293, 3.292, 6.894 Å; angles 90.00, 90.00, 90.00 degrees
Positions (direct):
Pt: 0.000 0.000 0.033
Pt: 0.000 0.000 0.467
Se: 0.500 0.500 0.250
Tl: 0.500 0.500 0.750

Computed properties:
**Formation energy (no corrections)**: 19.6 kJ per mole of atoms

***

(15)
A geometry-optimized Tl2PtSe structure, computed with PBE-GGA.

Cell lengths 5.909, 5.909, 5.909 Å; angles 137.29, 137.29, 61.99 degrees
Positions (direct):
Pt: 0.250 0.750 0.500
Se: 0.750 0.250 0.500
Tl: 0.000 0.000 0.000
Tl: 0.500 0.500 0.000

Computed properties:
**Offset from the most stable computed form**: 0.352 eV per atom
**Formation energy (no corrections)**: 19.0 kJ per mole of atoms

***

(16)
A geometry-optimized TlPtSe2 structure, computed with PBE-GGA.

Cell lengths 3.268, 3.269, 8.394 Å; angles 90.00, 90.00, 90.00 degrees
Positions (direct):
Pt: 0.500 0.500 0.750
Se: 0.000 0.000 0.936
Se: 0.000 0.000 0.564
Tl: 0.500 0.500 0.250

Computed properties:
**Offset from the most stable computed form**: 0.450 eV per atom
**Formation energy (no corrections)**: 13.8 kJ per mole of atoms

***

(17)
A geometry-optimized TlPtSe2 structure, computed with PBE-GGA.

Cell lengths 5.376, 5.376, 5.376 Å; angles 132.03, 132.03, 70.19 degrees
Positions (direct):
Pt: 0.750 0.250 0.500
Se: 0.000 0.000 0.000
Se: 0.250 0.750 0.500
Tl: 0.500 0.500 0.000

Computed properties:
**Offset from the most stable computed form**: 0.746 eV per atom
**Formation energy (no corrections)**: 42.4 kJ per mole of atoms

***

(18)
A geometry-optimized TlPt2Se3 structure, computed with PBE-GGA.

Cell lengths 7.561, 7.561, 6.044 Å; angles 90.00, 90.00, 120.00 degrees
Positions (direct):
Tl: 0.333 0.667 0.346
Tl: 0.667 0.333 0.654
Pt: 0.000 0.000 0.000
Pt: 0.500 0.000 0.000
Pt: 0.000 0.500 0.000
Pt: 0.500 0.500 0.000
Se: 0.170 0.830 0.794
Se: 0.170 0.340 0.794
Se: 0.660 0.830 0.794
Se: 0.340 0.170 0.206
Se: 0.830 0.660 0.206
Se: 0.830 0.170 0.206

Computed properties:
**Offset from the most stable computed form**: 0.000 eV per atom
**Formation energy (no corrections)**: -43.7 kJ per mole of atoms

***

(19)
A geometry-optimized TlPtSe2 structure, computed with PBE-GGA.

Cell lengths 3.739, 5.344, 5.374 Å; angles 69.05, 90.00, 90.00 degrees
Positions (direct):
Pt: 0.500 0.750 0.750
Se: 0.000 0.936 0.935
Se: 0.000 0.564 0.565
Tl: 0.500 0.250 0.250

Computed properties:
**Offset from the most stable computed form**: 0.007 eV per atom
**Formation energy (no corrections)**: -28.8 kJ per mole of atoms

***

(20)
A geometry-optimized TlPt2Se structure, computed with PBE-GGA.

Cell lengths 5.605, 5.605, 5.605 Å; angles 149.07, 120.36, 68.70 degrees
Positions (direct):
Pt: 0.988 0.988 0.000
Pt: 0.512 0.512 0.000
Se: 0.750 0.250 0.500
Tl: 0.250 0.750 0.500

Computed properties:
**Formation energy (no corrections)**: 19.8 kJ per mole of atoms